Entry from the Alexandria database: a relaxed RbAc3Re4N12 crystal (PBE).

Output
* space group: R32 (155)
* mass density: 7331 kg/m3
* formation energy without anion corrections: -39 meV/atom
* total DFT energy (no corrections): -163.8 eV/cell

POSCAR file:
```
RbAc3Re4N12
1.0
6.6160 3.8197 2.5087
-6.6160 3.8197 2.5087
0.0000 -7.6395 2.5087
Rb Ac Re N
1 3 4 12
direct
0.0000 0.0000 0.0000 Rb
0.0000 0.5494 0.4506 Ac
0.4506 0.0000 0.5494 Ac
0.5494 0.4506 0.0000 Ac
0.0696 0.5000 0.9304 Re
0.5000 0.5000 0.5000 Re
0.5000 0.9304 0.0696 Re
0.9304 0.0696 0.5000 Re
0.0667 0.9333 0.5000 N
0.0941 0.6559 0.8120 N
0.1880 0.3441 0.9059 N
0.3441 0.9059 0.1880 N
0.3637 0.6363 0.5000 N
0.5000 0.0667 0.9333 N
0.5000 0.3637 0.6363 N
0.6363 0.5000 0.3637 N
0.6559 0.8120 0.0941 N
0.8120 0.0941 0.6559 N
0.9059 0.1880 0.3441 N
0.9333 0.5000 0.0667 N
```